This record from the Alexandria database describes a relaxed MoC3S2Cl7O crystal. The functional is GGA+U.

Unit cell a=8.1504 b=10.4920 c=9.4278 alpha=90.00 beta=108.50 gamma=90.00
Closest atoms and distances in Å follow each position.
Space group Pc (No. 7)
Unique sites:
1 Mo 0.0000 0.2321 0.0000 [2 per cell]  1 O 1.69
2 C 0.4281 0.2229 0.4881 [2 per cell]  1 C 1.40
3 C 0.5014 0.3296 0.4420 [2 per cell]  2 C 1.40
4 C 0.6401 0.3014 0.3896 [2 per cell]  1 C 1.40
5 S 0.5120 0.0768 0.4704 [2 per cell]  1 C 1.71
6 S 0.6970 0.1453 0.3865 [2 per cell]  1 C 1.70
7 Cl 0.0258 0.0554 0.1634 [2 per cell]  1 Mo 2.38
8 Cl 0.2661 0.2294 0.5622 [2 per cell]  1 C 1.68
9 Cl 0.2996 0.2063 0.0342 [2 per cell]  1 Mo 2.37
10 Cl 0.4287 0.4800 0.4495 [2 per cell]  1 C 1.70
11 Cl 0.7064 0.1621 0.8847 [2 per cell]  1 Mo 2.41
12 Cl 0.7547 0.4105 0.3307 [2 per cell]  1 C 1.68
13 Cl 0.9768 0.3187 0.7613 [2 per cell]  1 Mo 2.38
14 O 0.9868 0.3603 0.1050 [2 per cell]  1 Mo 1.69

Summary:
Energy   -4.749 eV/atom